No. 1
VASP calculation (PBE) on crystalline ReOsRh at its relaxed geometry.

Unit cell a=6.0941 b=6.0941 c=6.0941 alpha=153.97 beta=153.97 gamma=37.14
Last column: nearest neighbours and their distance in Å.
Positions (direct):
1 Re 0.0000 0.0000 0.0000  4 Os 2.68, 4 Rh 2.74, 4 Re 2.74
2 Os 0.6603 0.6603 0.0000  4 Re 2.68, 4 Os 2.74, 4 Rh 2.78
3 Rh 0.3326 0.3326 0.0000  4 Re 2.74, 4 Rh 2.74, 4 Os 2.78

Results
Energy above the lowest structure with this stoichiometry: 0.020 eV/atom
E: -10.33 eV per atom
Space group: No. 107
Calculated formation energy: 0.010 eV per atom

=====

No. 2
VASP calculation (PBE) on crystalline HoGaPd at its relaxed geometry.

Unit cell a=11.3476 b=11.3476 c=11.3476 alpha=157.31 beta=45.68 gamma=140.90
Last column: nearest neighbours and their distance in Å.
Positions (direct):
1 Ho 0.0000 0.0000 0.0000  6 Ga 3.03-3.10, 6 Pd 3.19-3.26
2 Ho 0.0789 0.9150 0.1639  5 Pd 2.91-3.16, 6 Ga 3.09-3.19
3 Ho 0.3437 0.0143 0.3294  6 Pd 2.95-3.29, 6 Ga 3.09-3.22
4 Ho 0.4214 0.9214 0.5000  6 Pd 3.02-3.12, 6 Ga 3.15-3.25
5 Ho 0.6848 0.0143 0.6706  6 Pd 2.95-3.29, 6 Ga 3.09-3.22
6 Ho 0.7511 0.9150 0.8361  5 Pd 2.91-3.16, 6 Ga 3.09-3.19
7 Ga 0.1909 0.2939 0.8970  4 Pd 2.56-2.79
8 Ga 0.3624 0.6347 0.7277  4 Pd 2.59-2.71
9 Ga 0.3969 0.2939 0.1030  4 Pd 2.56-2.79
10 Ga 0.7322 0.2964 0.4358  3 Pd 2.60-2.63, 1 Ga 2.68
11 Ga 0.8606 0.2964 0.5642  3 Pd 2.60-2.63, 1 Ga 2.68
12 Ga 0.9071 0.6347 0.2723  4 Pd 2.59-2.71
13 Pd 0.0310 0.6292 0.4019  4 Ga 2.56-2.71
14 Pd 0.0695 0.3061 0.7635  4 Ga 2.59-2.79
15 Pd 0.2273 0.6292 0.5981  4 Ga 2.56-2.71
16 Pd 0.5426 0.3061 0.2365  4 Ga 2.59-2.79
17 Pd 0.5488 0.6227 0.9261  3 Ga 2.57-2.60
18 Pd 0.6965 0.6227 0.0739  3 Ga 2.57-2.60

Results
E: -5.16 eV per atom
Space group: No. 44
Calculated formation energy: -0.890 eV per atom

=====

No. 3
VASP calculation (PBE) on crystalline Ce2MgSc at its relaxed geometry.

Unit cell a=3.2052 b=3.2052 c=10.2704 alpha=90.00 beta=90.00 gamma=90.00
Last column: nearest neighbours and their distance in Å.
Positions (direct):
1 Ce 0.0000 0.0000 0.2490  4 Ce 3.21, 4 Sc 3.42, 4 Mg 3.43
2 Ce 0.0000 0.0000 0.7510  4 Ce 3.21, 4 Sc 3.42, 4 Mg 3.43
3 Mg 0.5000 0.5000 0.5000  4 Mg 3.21, 8 Ce 3.43
4 Sc 0.5000 0.5000 0.0000  4 Sc 3.21, 8 Ce 3.42

Results
Energy above the lowest structure with this stoichiometry: 0.000 eV/atom
E: -4.87 eV per atom
Space group: No. 123
Calculated formation energy: 0.080 eV per atom

=====

No. 4
VASP calculation (PBE) on crystalline AcGdTmZn at its relaxed geometry.

Unit cell a=5.5250 b=5.5250 c=5.5250 alpha=60.00 beta=60.00 gamma=60.00
Last column: nearest neighbours and their distance in Å.
Positions (direct):
1 Ac 0.0000 0.0000 0.0000  4 Tm 3.38, 4 Gd 3.38
2 Gd 0.2500 0.2500 0.2500  4 Zn 3.38, 4 Ac 3.38
3 Tm 0.7500 0.7500 0.7500  4 Zn 3.38, 4 Ac 3.38
4 Zn 0.5000 0.5000 0.5000  4 Gd 3.38, 4 Tm 3.38

Results
E: -5.80 eV per atom
Space group: No. 216
Calculated formation energy: 0.180 eV per atom

=====

No. 5
VASP calculation (PBE) on crystalline MnTcPPdCl at its relaxed geometry.

Unit cell a=2.9919 b=3.1629 c=8.6240 alpha=89.89 beta=80.10 gamma=90.00
Last column: nearest neighbours and their distance in Å.
Positions (direct):
1 Mn 0.0000 0.0000 0.0000  2 P 2.30
2 Tc 0.3454 0.9985 0.3124  4 P 2.39, 2 Cl 2.51
3 P 0.9030 0.4990 0.1965  2 Mn 2.30, 4 Tc 2.39
4 Pd 0.5900 0.5006 0.8170  4 Mn 2.67-2.68, 2 Cl 2.76-2.78, 2 Pd 2.99
5 Cl 0.7277 0.9974 0.5494  2 Tc 2.51, 2 Pd 2.76-2.78

Results
Energy above the lowest structure with this stoichiometry: 0.023 eV/atom
E_form (uncorrected): -95.8 kJ/mol of formula units
E: -6.60 eV per atom
Space group: No. 1

=====

No. 6
VASP calculation (PBE) on crystalline CePa5Ga2 at its relaxed geometry.

Unit cell a=6.4339 b=12.8617 c=4.4772 alpha=90.00 beta=90.00 gamma=90.00
Last column: nearest neighbours and their distance in Å.
Positions (direct):
1 Ce 0.0000 0.0000 0.0000  4 Ga 3.18, 8 Pa 3.22-3.24
2 Ce 0.5000 0.5000 0.0000  4 Ga 3.18, 8 Pa 3.22-3.24
3 Pa 0.0000 0.5000 0.0000  6 Pa 3.18-3.19, 4 Ga 3.20, 2 Ce 3.22
4 Pa 0.0056 0.2520 0.0000  7 Pa 3.15-3.22, 4 Ga 3.17-3.21, 1 Ce 3.24
5 Pa 0.2418 0.6278 0.5000  6 Pa 3.15-3.19, 4 Ga 3.18-3.25, 2 Ce 3.24
6 Pa 0.2582 0.1278 0.5000  6 Pa 3.15-3.19, 4 Ga 3.18-3.25, 2 Ce 3.24
7 Pa 0.4944 0.7520 0.0000  7 Pa 3.15-3.22, 4 Ga 3.17-3.21, 1 Ce 3.24
8 Pa 0.5000 0.0000 0.0000  6 Pa 3.18-3.19, 4 Ga 3.20, 2 Ce 3.22
9 Pa 0.5056 0.2480 0.0000  7 Pa 3.15-3.22, 4 Ga 3.17-3.21, 1 Ce 3.24
10 Pa 0.7418 0.8722 0.5000  6 Pa 3.15-3.19, 4 Ga 3.18-3.25, 2 Ce 3.24
11 Pa 0.7582 0.3722 0.5000  6 Pa 3.15-3.19, 4 Ga 3.18-3.25, 2 Ce 3.24
12 Pa 0.9944 0.7480 0.0000  7 Pa 3.15-3.22, 4 Ga 3.17-3.21, 1 Ce 3.24
13 Ga 0.2472 0.8750 0.5000  10 Pa 3.17-3.25, 2 Ce 3.18
14 Ga 0.2528 0.3750 0.5000  10 Pa 3.17-3.25, 2 Ce 3.18
15 Ga 0.7472 0.6250 0.5000  10 Pa 3.17-3.25, 2 Ce 3.18
16 Ga 0.7528 0.1250 0.5000  10 Pa 3.17-3.25, 2 Ce 3.18

Results
E: -7.58 eV per atom
Space group: No. 55
Calculated formation energy: -0.146 eV per atom

=====

No. 7
VASP calculation (PBE) on crystalline Hf3TcO at its relaxed geometry.

Unit cell a=8.3962 b=8.3962 c=5.5332 alpha=91.67 beta=91.67 gamma=68.68
Last column: nearest neighbours and their distance in Å.
Positions (direct):
1 Hf 0.0526 0.2871 0.9270  2 Tc 2.61-2.70, 1 O 2.84
2 Hf 0.1468 0.6862 0.5633  1 O 2.13
3 Hf 0.2871 0.0526 0.4270  2 Tc 2.61-2.70, 1 O 2.84
4 Hf 0.3137 0.8532 0.9367  1 O 2.13
5 Hf 0.3201 0.4780 0.0568  3 O 2.24-2.33
6 Hf 0.4780 0.3201 0.5568  3 O 2.24-2.33
7 Hf 0.5220 0.6799 0.4432  3 O 2.24-2.33
8 Hf 0.6799 0.5220 0.9432  3 O 2.24-2.33
9 Hf 0.6862 0.1468 0.0633  1 O 2.13
10 Hf 0.7129 0.9474 0.5730  2 Tc 2.61-2.70, 1 O 2.84
11 Hf 0.8532 0.3137 0.4367  1 O 2.13
12 Hf 0.9474 0.7129 0.0730  2 Tc 2.61-2.70, 1 O 2.84
13 Tc 0.1401 0.3810 0.3677  6 Hf 2.61-2.87, 1 Tc 2.88
14 Tc 0.3810 0.1401 0.8677  6 Hf 2.61-2.87, 1 Tc 2.88
15 Tc 0.6190 0.8599 0.1323  6 Hf 2.61-2.87, 1 Tc 2.88
16 Tc 0.8599 0.6190 0.6323  6 Hf 2.61-2.87, 1 Tc 2.88
17 O 0.2560 0.7440 0.2500  4 Hf 2.13-2.33
18 O 0.4251 0.5749 0.7500  6 Hf 2.24-2.39
19 O 0.5749 0.4251 0.2500  6 Hf 2.24-2.39
20 O 0.7440 0.2560 0.7500  4 Hf 2.13-2.33

Results
Energy above the lowest structure with this stoichiometry: 0.109 eV/atom
E_form (uncorrected): -427.6 kJ/mol of formula units
E: -9.92 eV per atom
Space group: No. 15

=====

No. 8
VASP calculation (PBE) on crystalline Ac2HPt at its relaxed geometry.

Unit cell a=5.2285 b=5.2285 c=5.2285 alpha=60.00 beta=60.00 gamma=60.00
Last column: nearest neighbours and their distance in Å.
Positions (direct):
1 Ac 0.2500 0.2500 0.2500  4 H 3.20, 4 Pt 3.20
2 Ac 0.7500 0.7500 0.7500  4 H 3.20, 4 Pt 3.20
3 H 0.0000 0.0000 0.0000  8 Ac 3.20
4 Pt 0.5000 0.5000 0.5000  8 Ac 3.20

Results
Energy above the lowest structure with this stoichiometry: 0.255 eV/atom
E: -4.88 eV per atom
Space group: No. 225

=====

No. 9
VASP calculation (PBE) on crystalline Zr7Tl4Cd at its relaxed geometry.

Unit cell a=6.1870 b=6.1870 c=11.1919 alpha=116.12 beta=116.12 gamma=52.98
Last column: nearest neighbours and their distance in Å.
Positions (direct):
1 Zr 0.0000 0.0000 0.0000  2 Cd 2.76, 2 Zr 2.83
2 Zr 0.1588 0.1588 0.6244  5 Zr 2.99-3.24, 4 Tl 3.11-3.19
3 Zr 0.1969 0.1969 0.9082  2 Zr 2.83-2.99, 1 Cd 2.99, 4 Tl 3.01-3.10
4 Zr 0.4021 0.4021 0.5479  1 Zr 2.85, 4 Tl 2.96-3.12
5 Zr 0.5979 0.5979 0.4521  1 Zr 2.85, 4 Tl 2.96-3.12
6 Zr 0.8031 0.8031 0.0918  2 Zr 2.83-2.99, 1 Cd 2.99, 4 Tl 3.01-3.10
7 Zr 0.8412 0.8412 0.3756  5 Zr 2.99-3.24, 4 Tl 3.11-3.19
8 Tl 0.0983 0.0983 0.3218  7 Zr 3.01-3.21, 1 Tl 3.05
9 Tl 0.3099 0.3099 0.2217  8 Zr 2.96-3.27, 1 Tl 3.05
10 Tl 0.6901 0.6901 0.7783  8 Zr 2.96-3.27, 1 Tl 3.05
11 Tl 0.9017 0.9017 0.6782  7 Zr 3.01-3.21, 1 Tl 3.05
12 Cd 0.5000 0.5000 0.0000  4 Zr 2.76-2.99

Results
E: -5.63 eV per atom
Space group: No. 12
Calculated formation energy: 0.224 eV per atom

=====

No. 10
VASP calculation (PBE) on crystalline NaVB2H at its relaxed geometry.

Unit cell a=3.9080 b=3.9080 c=8.7307 alpha=90.00 beta=90.00 gamma=90.00
Last column: nearest neighbours and their distance in Å.
Positions (direct):
1 Na 0.0000 0.0000 0.0000  4 H 2.76
2 V 0.0000 0.0000 0.5000  4 B 1.95
3 B 0.0000 0.5000 0.5000  2 V 1.95
4 B 0.5000 0.0000 0.5000  2 V 1.95
5 H 0.5000 0.5000 0.0000  4 Na 2.76

Results
E: -3.87 eV per atom
Space group: No. 123

=====

No. 11
VASP calculation (PBE) on crystalline Np2P4PtRh3 at its relaxed geometry.

Unit cell a=4.1518 b=4.1518 c=9.5476 alpha=90.00 beta=90.00 gamma=90.00
Last column: nearest neighbours and their distance in Å.
Positions (direct):
1 Np 0.0000 0.5000 0.2411  8 P 3.10-3.13, 7 Rh 3.18-3.38, 2 Pt 3.23
2 Np 0.5000 0.0000 0.7589  8 P 3.10-3.13, 7 Rh 3.18-3.38, 2 Pt 3.23
3 P 0.0000 0.0000 0.0000  4 Rh 2.34
4 P 0.0000 0.5000 0.6438  3 Rh 2.33-2.49, 2 Pt 2.49
5 P 0.5000 0.0000 0.3562  3 Rh 2.33-2.49, 2 Pt 2.49
6 P 0.5000 0.5000 0.0000  4 Rh 2.34
7 Pt 0.0000 0.0000 0.5000  4 P 2.49
8 Rh 0.0000 0.5000 0.8876  5 P 2.33-2.34
9 Rh 0.5000 0.0000 0.1124  5 P 2.33-2.34
10 Rh 0.5000 0.5000 0.5000  4 P 2.49

Results
E: -8.30 eV per atom
Space group: No. 115
Calculated formation energy: -0.735 eV per atom

=====

No. 12
VASP calculation (PBE) on crystalline HfAsRhSe2 at its relaxed geometry.

Unit cell a=4.8712 b=4.8712 c=4.6583 alpha=90.00 beta=90.00 gamma=90.00
Last column: nearest neighbours and their distance in Å.
Positions (direct):
1 Hf 0.0000 0.0000 0.0000  8 Se 3.37, 4 As 3.44
2 As 0.5000 0.5000 0.0000  2 Rh 2.33
3 Rh 0.5000 0.5000 0.5000  2 As 2.33, 4 Se 2.44
4 Se 0.0000 0.5000 0.5000  2 Rh 2.44
5 Se 0.5000 0.0000 0.5000  2 Rh 2.44

Results
Energy above the lowest structure with this stoichiometry: 0.000 eV/atom
E_form (uncorrected): 130.3 kJ/mol of formula units
E: -5.51 eV per atom
Space group: No. 123